Material: ThB2Ru2
Method: DFT, PBEsol
State: relaxed

Computed properties:
V (Å³ per cell): 145.4
E (eV per atom): -9.07
Energy of formation from the pure elements (eV/atom): -0.57
SG: No. 70
Spin magnetization (μB/f.u.): 0.00

a b c (Å): 6.723 5.965 5.530
angles (deg): 71.48 57.27 51.25
Fractional positions:
Th: 0.125 0.125 0.125
Th: 0.875 0.875 0.875
B: 0.192 0.558 0.192
B: 0.442 0.808 0.442
B: 0.558 0.192 0.558
B: 0.808 0.442 0.808
Ru: 0.238 0.238 0.512
Ru: 0.488 0.488 0.762
Ru: 0.512 0.512 0.238
Ru: 0.762 0.762 0.488